*a*
## CoTcPb (GGA-PBE)

Data for a relaxed structure of CoTcPb.

Properties
SG = No. 107

Cell: 6.0195 6.0195 6.0195 Å, 151.42 151.42 40.87°
Last column: nearest neighbours and their distance in Å.
Sites, in units of the cell vectors:
Co 0.0000 0.0000 0.0000  4 Tc 2.51
Tc 0.6220 0.6220 0.0000  4 Co 2.51
Pb 0.3177 0.3177 0.0000  4 Co 2.94, 4 Pb 2.97, 4 Tc 3.05

---

*b*
## CoTcPb (GGA-PBE)

Data for a relaxed structure of CoTcPb.

Properties
SG = No. 187

Cell: 4.1279 4.1279 3.5504 Å, 90.00 90.00 120.00°
Last column: nearest neighbours and their distance in Å.
Sites, in units of the cell vectors:
Co 0.0000 0.0000 0.0000  3 Tc 2.38
Tc 0.3333 0.6667 0.0000  3 Co 2.38
Pb 0.6667 0.3333 0.5000  6 Co 2.97, 6 Tc 2.97

---

Tell me which of them is the most stable. Sure, it is *a*.